# 1
Compound: CaAl2SiOs2
Source: the Alexandria database
Functional: GGA-PBE
Structure: optimized geometry

Unit cell a=4.466 b=4.466 c=5.701 alpha=90.00 beta=90.00 gamma=90.00
Element x y z (fractional)
Ca1 0.000 0.000 0.000
Al1 0.500 0.500 0.237
Al2 0.500 0.500 0.763
Si1 0.000 0.000 0.500
Os1 0.000 0.500 0.500
Os2 0.500 0.000 0.500

Results
Formation energy without anion corrections = -0.160 eV/atom
E = -38.33 eV per cell
Crystal system = tetragonal
Symmetry = P4/mmm

# 2
Compound: YZrIn2
Source: the Alexandria database
Functional: GGA-PBE
Structure: optimized geometry

Unit cell a=6.068 b=6.068 c=6.068 alpha=140.99 beta=134.44 gamma=61.50
Element x y z (fractional)
Y1 0.000 0.000 0.000
Zr1 0.256 0.756 0.500
In1 0.520 0.520 0.000
In2 0.743 0.243 0.500

Results
E = -21.73 eV per cell
Crystal system = orthorhombic
Symmetry = Imm2
ΔE_f = -0.3097 eV per atom

# 3
Compound: Ba2TlPdN
Source: the Alexandria database
Functional: GGA-PBE
Structure: optimized geometry

Unit cell a=5.977 b=5.977 c=3.948 alpha=90.00 beta=90.00 gamma=90.00
Element x y z (fractional)
Ba1 0.000 0.500 0.000
Ba2 0.500 0.000 0.000
Tl1 0.000 0.000 0.500
Pd1 0.500 0.500 0.500
N1 0.500 0.500 0.000

Results
Formation energy without anion corrections = -0.316 eV/atom
E = -21.31 eV per cell
Crystal system = tetragonal
Symmetry = P4/mmm

# 4
Compound: TlSiPb
Source: the Alexandria database
Functional: GGA-PBE
Structure: optimized geometry

Unit cell a=4.988 b=4.988 c=4.988 alpha=60.00 beta=60.00 gamma=60.00
Element x y z (fractional)
Tl1 0.000 0.000 0.000
Si1 0.250 0.250 0.250
Pb1 0.500 0.500 0.500

Results
Formation energy without anion corrections = 0.359 eV/atom
E = -10.42 eV per cell
Crystal system = cubic
Symmetry = F-43m
Distance to the lowest polymorph of the same formula = 0.036 eV/f.u.

# 5
Compound: LiDyYCd
Source: the Alexandria database
Functional: GGA-PBE
Structure: optimized geometry

Unit cell a=5.265 b=5.265 c=5.265 alpha=60.00 beta=60.00 gamma=60.00
Element x y z (fractional)
Li1 0.000 0.000 0.000
Dy1 0.750 0.750 0.750
Y1 0.250 0.250 0.250
Cd1 0.500 0.500 0.500

Results
E = -14.41 eV per cell
Crystal system = cubic
Symmetry = F-43m
ΔE_f = -0.1288 eV per atom

# 6
Compound: Gd2YRh
Source: the Alexandria database
Functional: GGA-PBE
Structure: optimized geometry

Unit cell a=3.547 b=3.547 c=8.633 alpha=90.00 beta=90.00 gamma=90.00
Element x y z (fractional)
Gd1 0.000 0.000 0.188
Gd2 0.000 0.000 0.812
Y1 0.500 0.500 0.500
Rh1 0.500 0.500 0.000

Results
E = -43.43 eV per cell
Crystal system = tetragonal
Symmetry = P4/mmm
ΔE_f = -0.3638 eV per atom
Distance to the lowest polymorph of the same formula = 0.000 eV/f.u.